Entry 1:
The following is a PBE calculation of a geometry-optimized RhPb4Cl structure, from the Alexandria database.

The value obtained for the uncorrected formation energy is 0.49 eV per atom. For the total magnetization, the calculation gives 2.44 μB per cell.

The structure belongs to space group F-43m (No. 216); the cell edges are 8.893, 8.893 and 8.893 Å and the angles 90.00°, 90.00° and 90.00°. Symmetry generates all atoms from Rh at (0.000, 0.000, 0.000), Pb at (0.126, 0.126, 0.374) and Cl at (0.250, 0.250, 0.750).

Entry 2:
The following is a PBE calculation of a geometry-optimized TaSe2NO structure, from the Alexandria database.

The value obtained for the uncorrected formation energy is 1.10 eV per atom. For the total magnetization, the calculation gives 0.00 μB per cell.

The structure belongs to space group P4/mmm (No. 123); the cell edges are 4.276, 4.276 and 3.849 Å and the angles 90.00°, 90.00° and 90.00°. Symmetry generates all atoms from Ta at (0.000, 0.000, 0.000), Se at (0.000, 0.500, 0.500), N at (0.500, 0.500, 0.000) and O at (0.500, 0.500, 0.500).

Entry 3:
The following is a PBE calculation of a geometry-optimized Pm2TeH structure, from the Alexandria database.

The calculated total energy is -78.355 eV/cell. For the total magnetization, the calculation gives 0.00 μB per cell.

The structure belongs to space group P2_1/c (No. 14); the cell edges are 8.051, 6.354 and 7.681 Å and the angles 90.00°, 100.93° and 90.00°. Symmetry generates all atoms from Pm at (0.042, 0.144, 0.321), Pm at (0.328, 0.658, 0.521), Te at (0.339, 0.135, 0.667) and H at (0.201, 0.657, 0.767).

Entry 4:
The following is a PBE calculation of a geometry-optimized ScBi3Br structure, from the Alexandria database.

The value obtained for the uncorrected formation energy is 0.06 eV per atom. For the total magnetization, the calculation gives 0.00 μB per cell.

The structure belongs to space group Pm-3m (No. 221); the cell edges are 5.600, 5.600 and 5.600 Å and the angles 90.00°, 90.00° and 90.00°. Symmetry generates all atoms from Sc at (0.000, 0.000, 0.000), Bi at (0.000, 0.000, 0.500) and Br at (0.500, 0.500, 0.500).

Entry 5:
The following is a PBE calculation of a geometry-optimized La12Re5C15 structure, from the Alexandria database.

The calculated total energy is -268.000 eV/cell. For the total magnetization, the calculation gives 0.00 μB per cell.

The structure belongs to space group P-62m (No. 189); the cell edges are 11.2079, 11.2079 and 5.4695 Å and the angles 90.00°, 90.00° and 120.00°. Symmetry generates all atoms from La at (0.0000, 0.4199, 0.0000), La at (0.0000, 0.7953, 0.0000), La at (0.1869, 0.7291, 0.5000), Re at (0.0000, 0.1524, 0.5000), Re at (0.3333, 0.6667, 0.0000), C at (0.0000, 0.3252, 0.5000), C at (0.0000, 0.4463, 0.5000), C at (0.0000, 0.7965, 0.5000) and C at (0.1890, 0.7107, 0.0000).

Entry 6:
The following is a PBE calculation of a geometry-optimized Ti2GaH3 structure, from the Alexandria database.

The calculated total energy is -124.716 eV/cell. For the total magnetization, the calculation gives 0.00 μB per cell.

The structure belongs to space group C2/m (No. 12); the cell edges are 11.618, 2.969 and 7.053 Å and the angles 90.00°, 111.22° and 90.00°. Symmetry generates all atoms from Ti at (0.026, 0.000, 0.216), Ti at (0.169, 0.500, 0.624), Ga at (0.166, 0.500, 0.054), H at (0.025, 0.500, 0.375), H at (0.107, 0.000, 0.700) and H at (0.180, 0.000, 0.447).

Entry 7:
The following is a PBE calculation of a geometry-optimized LiIn2Si2Pd5 structure, from the Alexandria database.

The value obtained for the uncorrected formation energy is -0.40 eV per atom. For the total magnetization, the calculation gives 0.00 μB per cell.

The structure belongs to space group P4/mbm (No. 127); the cell edges are 9.989, 9.989 and 3.281 Å and the angles 90.00°, 90.00° and 90.00°. Symmetry generates all atoms from Li at (0.000, 0.000, 0.000), In at (0.179, 0.321, 0.000), Si at (0.134, 0.634, 0.000), Pd at (0.000, 0.500, 0.500) and Pd at (0.029, 0.786, 0.500).

Entry 8:
The following is a PBE calculation of a geometry-optimized Rb3ErU2O9 structure, from the Alexandria database.

The value obtained for the uncorrected formation energy is -2.88 eV per atom. For the total magnetization, the calculation gives 0.00 μB per cell.

The structure belongs to space group P-3m1 (No. 164); the cell edges are 6.1387, 6.1387 and 7.5168 Å and the angles 90.00°, 90.00° and 120.00°. Symmetry generates all atoms from Rb at (0.0000, 0.0000, 0.0000), Rb at (0.3333, 0.6667, 0.6623), Er at (0.0000, 0.0000, 0.5000), U at (0.3333, 0.6667, 0.1689), O at (0.0000, 0.5000, 0.0000) and O at (0.1744, 0.3489, 0.3235).

Entry 9:
The following is a PBE calculation of a geometry-optimized ReRh2W structure, from the Alexandria database.

The calculated total energy is -81.288 eV/cell. For the total magnetization, the calculation gives 0.00 μB per cell.

The structure belongs to space group I4/mmm (No. 139); the cell edges are 3.852, 3.852 and 7.937 Å and the angles 90.00°, 90.00° and 90.00°. Symmetry generates all atoms from Re at (0.000, 0.000, 0.000), Rh at (0.000, 0.500, 0.250) and W at (0.000, 0.000, 0.500).

Entry 10:
The following is a PBE calculation of a geometry-optimized CaYMgNi2 structure, from the Alexandria database.

The calculated total energy is -18.305 eV/cell. For the total magnetization, the calculation gives 0.00 μB per cell.

The structure belongs to space group P4/mmm (No. 123); the cell edges are 4.887, 4.887 and 5.566 Å and the angles 90.00°, 90.00° and 90.00°. Symmetry generates all atoms from Ca at (0.000, 0.000, 0.000), Y at (0.500, 0.500, 0.500), Mg at (0.500, 0.500, 0.000) and Ni at (0.000, 0.500, 0.500).

Entry 11:
The following is a PBE calculation of a geometry-optimized Si2PW structure, from the Alexandria database.

The value obtained for the uncorrected formation energy is 0.44 eV per atom. For the total magnetization, the calculation gives 0.00 μB per cell.

The structure belongs to space group I4/mmm (No. 139); the cell edges are 3.715, 3.715 and 8.087 Å and the angles 90.00°, 90.00° and 90.00°. Symmetry generates all atoms from Si at (0.000, 0.500, 0.250), P at (0.000, 0.000, 0.000) and W at (0.000, 0.000, 0.500).

Entry 12:
The following is a PBE calculation of a geometry-optimized CeThAlTl structure, from the Alexandria database.

The calculated total energy is -79.975 eV/cell. For the total magnetization, the calculation gives 4.87 μB per cell.

The structure belongs to space group F-43m (No. 216); the cell edges are 7.628, 7.628 and 7.628 Å and the angles 90.00°, 90.00° and 90.00°. Symmetry generates all atoms from Ce at (0.000, 0.000, 0.000), Th at (0.000, 0.000, 0.500), Al at (0.250, 0.250, 0.250) and Tl at (0.250, 0.250, 0.750).

Entry 13:
The following is a PBE calculation of a geometry-optimized TbTi2MnN4 structure, from the Alexandria database.

The value obtained for the uncorrected formation energy is -1.27 eV per atom. For the total magnetization, the calculation gives 0.00 μB per cell.

The structure belongs to space group Cmcm (No. 63); the cell edges are 3.122, 10.616 and 10.457 Å and the angles 90.00°, 90.00° and 90.00°. Symmetry generates all atoms from Tb at (0.000, 0.107, 0.250), Ti at (0.000, 0.370, 0.043), Mn at (0.000, 0.156, 0.750), N at (0.000, 0.000, 0.000), N at (0.000, 0.268, 0.615) and N at (0.000, 0.435, 0.250).

Entry 14:
The following is a PBE calculation of a geometry-optimized Sr2AcErS4 structure, from the Alexandria database.

The value obtained for the uncorrected formation energy is -2.00 eV per atom. For the total magnetization, the calculation gives 0.00 μB per cell.

The structure belongs to space group P2/m (No. 10); the cell edges are 7.224, 4.152 and 7.287 Å and the angles 90.00°, 109.04° and 90.00°. Symmetry generates all atoms from Sr at (0.000, 0.000, 0.000), Sr at (0.500, 0.500, 0.000), Ac at (0.000, 0.500, 0.500), Er at (0.500, 0.000, 0.500), S at (0.266, 0.000, 0.744) and S at (0.272, 0.500, 0.268).

Entry 15:
The following is a PBE calculation of a geometry-optimized K4Na3AgCl8 structure, from the Alexandria database.

The value obtained for the uncorrected formation energy is -1.69 eV per atom. For the total magnetization, the calculation gives 0.00 μB per cell.

The structure belongs to space group C2/m (No. 12); the cell edges are 14.775, 8.435 and 8.513 Å and the angles 90.00°, 124.95° and 90.00°. Symmetry generates all atoms from K at (0.000, 0.000, 0.000), K at (0.000, 0.500, 0.000), K at (0.250, 0.250, 0.000), Na at (0.000, 0.000, 0.500), Na at (0.250, 0.250, 0.500), Ag at (0.000, 0.500, 0.500), Cl at (0.009, 0.253, 0.281), Cl at (0.241, 0.000, 0.723) and Cl at (0.245, 0.500, 0.725).

Entry 16:
The following is a PBE calculation of a geometry-optimized NaLaI2O structure, from the Alexandria database.

The value obtained for the uncorrected formation energy is -0.78 eV per atom. For the total magnetization, the calculation gives 0.02 μB per cell.

The structure belongs to space group P4/mmm (No. 123); the cell edges are 5.606, 5.606 and 4.310 Å and the angles 90.00°, 90.00° and 90.00°. Symmetry generates all atoms from Na at (0.000, 0.000, 0.000), La at (0.500, 0.500, 0.500), I at (0.000, 0.500, 0.000) and O at (0.000, 0.000, 0.500).

Entry 17:
The following is a PBE calculation of a geometry-optimized CdNiBr2 structure, from the Alexandria database.

The value obtained for the uncorrected formation energy is 0.30 eV per atom. For the total magnetization, the calculation gives 1.51 μB per cell.

The structure belongs to space group Cmmm (No. 65); the cell edges are 7.013, 7.026 and 3.535 Å and the angles 90.00°, 90.00° and 90.00°. Symmetry generates all atoms from Cd at (0.000, 0.000, 0.000), Ni at (0.000, 0.500, 0.000) and Br at (0.250, 0.250, 0.500).

Entry 18:
The following is a PBE calculation of a geometry-optimized TaPS3 structure, from the Alexandria database.

The value obtained for the uncorrected formation energy is 0.27 eV per atom. For the total magnetization, the calculation gives 1.93 μB per cell.

The structure belongs to space group Pm-3m (No. 221); the cell edges are 4.792, 4.792 and 4.792 Å and the angles 90.00°, 90.00° and 90.00°. Symmetry generates all atoms from Ta at (0.000, 0.000, 0.000), P at (0.500, 0.500, 0.500) and S at (0.000, 0.000, 0.500).

Entry 19:
The following is a PBE calculation of a geometry-optimized Rb2SrReI6 structure, from the Alexandria database.

The value obtained for the uncorrected formation energy is -0.78 eV per atom. For the total magnetization, the calculation gives 4.00 μB per cell.

The structure belongs to space group Fm-3m (No. 225); the cell edges are 11.917, 11.917 and 11.917 Å and the angles 90.00°, 90.00° and 90.00°. Symmetry generates all atoms from Rb at (0.250, 0.250, 0.250), Sr at (0.000, 0.000, 0.000), Re at (0.000, 0.000, 0.500) and I at (0.000, 0.000, 0.269).